(1)
Density functional theory data (PBE-GGA) for an optimized crystal structure of Cs2K3Au3.

The value obtained for the calculated volume is 1751.0 Å³ per cell. The formation energy comes out at -0.20 eV per atom.

Unit cell a=15.449 b=7.012 c=16.215 alpha=90.00 beta=94.51 gamma=90.00
Space group Cm (No. 8)
Symmetry-distinct sites (fractional):
Cs 0.000 0.000 0.000 (multiplicity 2)
Cs 0.023 0.000 0.359 (multiplicity 2)
Cs 0.137 0.500 0.568 (multiplicity 2)
Cs 0.305 0.000 0.842 (multiplicity 2)
K 0.086 0.500 0.817 (multiplicity 2)
K 0.217 0.500 0.043 (multiplicity 2)
K 0.226 0.500 0.302 (multiplicity 2)
K 0.349 0.000 0.475 (multiplicity 2)
K 0.403 0.000 0.180 (multiplicity 2)
K 0.425 0.500 0.681 (multiplicity 2)
Au 0.001 0.500 0.996 (multiplicity 2)
Au 0.026 0.500 0.366 (multiplicity 2)
Au 0.301 0.500 0.856 (multiplicity 2)
Au 0.341 0.500 0.483 (multiplicity 2)
Au 0.385 0.500 0.177 (multiplicity 2)
Au 0.432 0.000 0.668 (multiplicity 2)

***

(2)
Density functional theory data (PBE-GGA) for an optimized crystal structure of Cs2K7Au.

The value obtained for the calculated volume is 2847.1 Å³ per cell. The formation energy comes out at -0.05 eV per atom.

Unit cell a=23.680 b=11.644 c=11.959 alpha=90.00 beta=120.30 gamma=90.00
Space group C2/c (No. 15)
Symmetry-distinct sites (fractional):
Cs 0.195 0.009 0.195 (multiplicity 8)
K 0.000 0.000 0.250 (multiplicity 4)
K 0.038 0.347 0.038 (multiplicity 8)
K 0.133 0.324 0.835 (multiplicity 8)
K 0.133 0.325 0.431 (multiplicity 8)
Au 0.000 0.500 0.250 (multiplicity 4)

***

(3)
Density functional theory data (PBE-GGA) for an optimized crystal structure of CsK2Au.

The value obtained for the calculated volume is 197.0 Å³ per cell. The formation energy comes out at -0.05 eV per atom. For the energy above the lowest structure with this stoichiometry, the calculation gives 115.9 meV per atom.

Unit cell a=5.570 b=5.570 c=6.350 alpha=90.00 beta=90.00 gamma=90.00
Space group P4/mmm (No. 123)
Symmetry-distinct sites (fractional):
Cs 0.000 0.000 0.000 (multiplicity 1)
K 0.000 0.500 0.500 (multiplicity 2)
Au 0.500 0.500 0.000 (multiplicity 1)

***

(4)
Density functional theory data (PBE-GGA) for an optimized crystal structure of Cs7K12Au.

The value obtained for the calculated volume is 4963.0 Å³ per cell. The formation energy comes out at 0.03 eV per atom.

Unit cell a=26.0568 b=26.0568 c=8.4405 alpha=90.00 beta=90.00 gamma=120.00
Space group R-3 (No. 148, hexagonal axes)
Symmetry-distinct sites (fractional):
Cs 0.0000 0.0000 0.0000 (multiplicity 3)
Cs 0.0767 0.1537 0.3258 (multiplicity 18)
K 0.9999 0.4071 0.9999 (multiplicity 18)
K 0.0901 0.5448 0.5033 (multiplicity 18)
Au 0.0000 0.0000 0.5000 (multiplicity 3)

***

(5)
Density functional theory data (PBE-GGA) for an optimized crystal structure of Cs2K4Au.

The value obtained for the calculated volume is 949.7 Å³ per cell. The formation energy comes out at -0.07 eV per atom. For the energy above the lowest structure with this stoichiometry, the calculation gives 0.0 meV per atom.

Unit cell a=19.292 b=6.089 c=8.356 alpha=90.00 beta=104.66 gamma=90.00
Space group C2/m (No. 12)
Symmetry-distinct sites (fractional):
Cs 0.202 0.000 0.227 (multiplicity 4)
K 0.037 0.500 0.238 (multiplicity 4)
K 0.097 0.000 0.703 (multiplicity 4)
Au 0.000 0.000 0.000 (multiplicity 2)

***

(6)
Density functional theory data (PBE-GGA) for an optimized crystal structure of Cs5K4Au3.

The value obtained for the calculated volume is 1609.9 Å³ per cell. The formation energy comes out at -0.15 eV per atom.

Unit cell a=22.006 b=7.303 c=10.636 alpha=90.00 beta=109.64 gamma=90.00
Space group C2/m (No. 12)
Symmetry-distinct sites (fractional):
Cs 0.000 0.000 0.000 (multiplicity 2)
Cs 0.062 0.500 0.349 (multiplicity 4)
Cs 0.169 0.500 0.999 (multiplicity 4)
K 0.117 0.000 0.667 (multiplicity 4)
K 0.225 0.000 0.341 (multiplicity 4)
Au 0.000 0.500 0.000 (multiplicity 2)
Au 0.165 0.000 0.005 (multiplicity 4)

***

(7)
Density functional theory data (PBE-GGA) for an optimized crystal structure of CsKAu2.

The value obtained for the calculated volume is 529.1 Å³ per cell. The formation energy comes out at -0.28 eV per atom. For the energy above the lowest structure with this stoichiometry, the calculation gives 26.7 meV per atom.

Unit cell a=5.0211 b=5.0211 c=24.2319 alpha=90.00 beta=90.00 gamma=120.00
Space group R-3m (No. 166, hexagonal axes)
Symmetry-distinct sites (fractional):
Cs 0.0000 0.0000 0.0000 (multiplicity 3)
K 0.0000 0.0000 0.5000 (multiplicity 3)
Au 0.0000 0.0000 0.2418 (multiplicity 6)

***

(8)
Density functional theory data (PBE-GGA) for an optimized crystal structure of CsK2Au3.

The value obtained for the calculated volume is 207.3 Å³ per cell. The formation energy comes out at -0.29 eV per atom.

Unit cell a=4.118 b=4.118 c=12.223 alpha=90.00 beta=90.00 gamma=90.00
Space group P4/mmm (No. 123)
Symmetry-distinct sites (fractional):
Cs 0.000 0.000 0.000 (multiplicity 1)
K 0.000 0.000 0.342 (multiplicity 2)
Au 0.500 0.500 0.190 (multiplicity 2)
Au 0.500 0.500 0.500 (multiplicity 1)

***

(9)
Density functional theory data (PBE-GGA) for an optimized crystal structure of Cs2KAu2.

The value obtained for the calculated volume is 442.1 Å³ per cell. The formation energy comes out at -0.19 eV per atom. For the energy above the lowest structure with this stoichiometry, the calculation gives 76.3 meV per atom.

Unit cell a=10.259 b=10.259 c=4.200 alpha=90.00 beta=90.00 gamma=90.00
Space group P4/mbm (No. 127)
Symmetry-distinct sites (fractional):
Cs 0.134 0.366 0.000 (multiplicity 4)
K 0.000 0.000 0.000 (multiplicity 2)
Au 0.166 0.666 0.500 (multiplicity 4)

***

(10)
Density functional theory data (PBE-GGA) for an optimized crystal structure of Cs12K5Au3.

The value obtained for the calculated volume is 15272.0 Å³ per cell. The formation energy comes out at 0.07 eV per atom. For the energy above the lowest structure with this stoichiometry, the calculation gives 141.4 meV per atom.

Unit cell a=24.810 b=24.810 c=24.810 alpha=90.00 beta=90.00 gamma=90.00
Space group Ia-3d (No. 230)
Symmetry-distinct sites (fractional):
Cs 0.018 0.108 0.646 (multiplicity 96)
K 0.000 0.000 0.000 (multiplicity 16)
K 0.000 0.250 0.375 (multiplicity 24)
Au 0.000 0.250 0.125 (multiplicity 24)

***

(11)
Density functional theory data (PBE-GGA) for an optimized crystal structure of CsK2Au.

The value obtained for the calculated volume is 962.8 Å³ per cell. The formation energy comes out at -0.13 eV per atom. For the energy above the lowest structure with this stoichiometry, the calculation gives 44.0 meV per atom.

Unit cell a=11.482 b=11.482 c=7.304 alpha=90.00 beta=90.00 gamma=90.00
Space group I-42d (No. 122)
Symmetry-distinct sites (fractional):
Cs 0.000 0.000 0.000 (multiplicity 4)
K 0.132 0.250 0.625 (multiplicity 8)
Au 0.000 0.000 0.500 (multiplicity 4)

***

(12)
Density functional theory data (PBE-GGA) for an optimized crystal structure of Cs4KAu4.

The value obtained for the calculated volume is 839.8 Å³ per cell. The formation energy comes out at -0.28 eV per atom. For the energy above the lowest structure with this stoichiometry, the calculation gives 0.0 meV per atom.

Unit cell a=10.718 b=10.718 c=7.311 alpha=90.00 beta=90.00 gamma=90.00
Space group P4_2/n (No. 86, origin choice 2)
Symmetry-distinct sites (fractional):
Cs 0.053 0.669 0.119 (multiplicity 8)
K 0.250 0.250 0.250 (multiplicity 2)
Au 0.007 0.618 0.601 (multiplicity 8)

***

(13)
Density functional theory data (PBE-GGA) for an optimized crystal structure of Cs5K3Au3.

The value obtained for the calculated volume is 735.3 Å³ per cell. The formation energy comes out at -0.16 eV per atom.

Unit cell a=11.3065 b=11.3065 c=6.6417 alpha=90.00 beta=90.00 gamma=120.00
Space group P-62m (No. 189)
Symmetry-distinct sites (fractional):
Cs 0.0000 0.7488 0.0000 (multiplicity 3)
Cs 0.3333 0.6667 0.0000 (multiplicity 2)
K 0.0000 0.3873 0.5000 (multiplicity 3)
Au 0.0000 0.3711 0.0000 (multiplicity 3)

***

(14)
Density functional theory data (PBE-GGA) for an optimized crystal structure of Cs2K6Au3.

The value obtained for the calculated volume is 577.3 Å³ per cell. The formation energy comes out at -0.12 eV per atom.

Unit cell a=10.7298 b=10.7298 c=5.7902 alpha=90.00 beta=90.00 gamma=120.00
Space group P-62m (No. 189)
Symmetry-distinct sites (fractional):
Cs 0.3333 0.6667 0.0000 (multiplicity 2)
K 0.0000 0.3168 0.5000 (multiplicity 3)
K 0.0000 0.7701 0.0000 (multiplicity 3)
Au 0.0000 0.6282 0.5000 (multiplicity 3)

***

(15)
Density functional theory data (PBE-GGA) for an optimized crystal structure of CsK12Au6.

The value obtained for the calculated volume is 2609.7 Å³ per cell. The formation energy comes out at -0.19 eV per atom.

Unit cell a=15.7385 b=15.7385 c=12.1656 alpha=90.00 beta=90.00 gamma=120.00
Space group R-3m (No. 166, hexagonal axes)
Symmetry-distinct sites (fractional):
Cs 0.0000 0.0000 0.0000 (multiplicity 3)
K 0.0000 0.3759 0.5000 (multiplicity 18)
K 0.0889 0.1778 0.3573 (multiplicity 18)
Au 0.0400 0.5200 0.2704 (multiplicity 18)

***

(16)
Density functional theory data (PBE-GGA) for an optimized crystal structure of Cs7KAu3.

The value obtained for the calculated volume is 1600.6 Å³ per cell. The formation energy comes out at -0.18 eV per atom.

Unit cell a=17.138 b=10.393 c=12.265 alpha=90.00 beta=132.89 gamma=90.00
Space group Cm (No. 8)
Symmetry-distinct sites (fractional):
Cs 0.000 0.000 0.000 (multiplicity 2)
Cs 0.000 0.500 0.000 (multiplicity 2)
Cs 0.148 0.243 0.825 (multiplicity 4)
Cs 0.238 0.257 0.489 (multiplicity 4)
Cs 0.392 0.000 0.319 (multiplicity 2)
K 0.381 0.500 0.320 (multiplicity 2)
Au 0.199 0.255 0.163 (multiplicity 4)
Au 0.442 0.500 0.651 (multiplicity 2)

***

(17)
Density functional theory data (PBE-GGA) for an optimized crystal structure of CsK2Au.

The value obtained for the calculated volume is 459.6 Å³ per cell. The formation energy comes out at -0.12 eV per atom. For the energy above the lowest structure with this stoichiometry, the calculation gives 51.3 meV per atom.

Unit cell a=9.957 b=5.750 c=8.683 alpha=90.00 beta=112.40 gamma=90.00
Space group Cm (No. 8)
Symmetry-distinct sites (fractional):
Cs 0.000 0.000 0.000 (multiplicity 2)
K 0.039 0.500 0.617 (multiplicity 2)
K 0.285 0.500 0.355 (multiplicity 2)
Au 0.162 0.000 0.486 (multiplicity 2)

***

(18)
Density functional theory data (PBE-GGA) for an optimized crystal structure of CsK14Au.

The value obtained for the calculated volume is 2234.1 Å³ per cell. The formation energy comes out at -0.01 eV per atom.

Unit cell a=12.289 b=12.288 c=14.795 alpha=90.00 beta=90.00 gamma=90.00
Space group Amm2 (No. 38)
Symmetry-distinct sites (fractional):
Cs 0.000 0.000 0.000 (multiplicity 2)
K 0.000 0.249 0.750 (multiplicity 4)
K 0.187 0.174 0.510 (multiplicity 8)
K 0.238 0.000 0.762 (multiplicity 4)
K 0.264 0.000 0.234 (multiplicity 4)
K 0.500 0.000 0.490 (multiplicity 2)
K 0.500 0.000 0.994 (multiplicity 2)
K 0.500 0.235 0.740 (multiplicity 4)
Au 0.000 0.000 0.634 (multiplicity 2)